A plane-wave DFT calculation with GGA-PBE was carried out for a relaxed SrTiIr2 crystal.

Computed properties:
Energy above the most stable polymorph in this dataset ... 0 meV/atom
D(E_F) ... 0.38 states/eV/atom
Crystal system ... tetragonal
Calculated volume ... 74.3 Å³/cell
Formation energy from the elements ... -1.84 eV per formula unit
ρ ... 11.618 g cm⁻³
Space-group type ... P4/mmm, No. 123

Cell: 3.128 3.128 7.596 Å, 90.00 90.00 90.00°
Fractional coordinates of all 4 atoms:
Sr 0.500 0.500 0.500
Ir 0.000 0.000 0.805
Ir 0.000 0.000 0.195
Ti 0.500 0.500 0.000

A plane-wave DFT calculation with GGA-PBE was carried out for a relaxed SrZrTiIr2 crystal.

Computed properties:
D(E_F) ... 0.76 states/eV/atom
Crystal system ... tetragonal
Calculated volume ... 110.0 Å³/cell
Formation energy from the elements ... -3.15 eV per formula unit
ρ ... 9.223 g cm⁻³
Space-group type ... I-4m2, No. 119

Cell: 4.437 4.437 6.409 Å, 110.25 110.25 90.00°
Fractional coordinates of all 5 atoms:
Sr 0.000 0.000 0.000
Zr 0.250 0.750 0.500
Ti 0.750 0.250 0.500
Ir 0.620 0.620 0.239
Ir 0.380 0.380 0.761

A plane-wave DFT calculation with GGA-PBE was carried out for a relaxed Sr2TlIr crystal.

Computed properties:
Energy above the most stable polymorph in this dataset ... 251 meV/atom
D(E_F) ... 0.80 states/eV/atom
Crystal system ... tetragonal
Calculated volume ... 107.5 Å³/cell
Formation energy from the elements ... 0.25 eV per formula unit
ρ ... 8.835 g cm⁻³
Space-group type ... I-4m2, No. 119

Cell: 5.839 5.839 5.839 Å, 132.08 132.08 70.10°
Fractional coordinates of all 4 atoms:
Ir 0.750 0.250 0.500
Sr 0.000 0.000 0.000
Sr 0.250 0.750 0.500
Tl 0.500 0.500 0.000

A plane-wave DFT calculation with GGA-PBE was carried out for a relaxed Sr6TlIr2 crystal.

Computed properties:
D(E_F) ... 0.96 states/eV/atom
Crystal system ... orthorhombic
Calculated volume ... 617.4 Å³/cell
Formation energy from the elements ... -1.92 eV per formula unit
ρ ... 5.995 g cm⁻³
Space-group type ... Immm, No. 71

Cell: 9.313 9.313 9.313 Å, 103.92 111.53 113.11°
Fractional coordinates of all 18 atoms:
Sr 0.528 0.710 0.818
Sr 0.472 0.290 0.182
Sr 0.107 0.290 0.818
Sr 0.893 0.710 0.182
Sr 0.788 0.770 0.557
Sr 0.212 0.230 0.443
Sr 0.212 0.770 0.982
Sr 0.788 0.230 0.018
Sr 0.691 0.366 0.675
Sr 0.309 0.634 0.325
Sr 0.309 0.983 0.675
Sr 0.691 0.017 0.325
Tl 0.000 0.500 0.500
Tl 0.000 0.000 0.000
Ir 0.500 0.387 0.887
Ir 0.500 0.613 0.113
Ir 0.627 0.000 0.627
Ir 0.373 0.000 0.373

A plane-wave DFT calculation with GGA-PBE was carried out for a relaxed Sr2TlIr crystal.

Computed properties:
Energy above the most stable polymorph in this dataset ... 286 meV/atom
D(E_F) ... 1.31 states/eV/atom
Crystal system ... cubic
Calculated volume ... 103.3 Å³/cell
Formation energy from the elements ... 0.39 eV per formula unit
ρ ... 9.195 g cm⁻³
Space-group type ... F-43m, No. 216

Cell: 5.266 5.266 5.266 Å, 60.00 60.00 60.00°
Fractional coordinates of all 4 atoms:
Ir 0.500 0.500 0.500
Sr 0.000 0.000 0.000
Sr 0.250 0.250 0.250
Tl 0.750 0.750 0.750

A plane-wave DFT calculation with GGA-PBE was carried out for a relaxed SrTlIr crystal.

Computed properties:
D(E_F) ... 0.61 states/eV/atom
Crystal system ... monoclinic
Calculated volume ... 165.3 Å³/cell
Formation energy from the elements ... -0.64 eV per formula unit
ρ ... 9.731 g cm⁻³
Space-group type ... C2/m, No. 12

Cell: 4.434 5.705 7.057 Å, 77.82 71.73 89.99°
Fractional coordinates of all 6 atoms:
Sr 0.373 0.667 0.755
Sr 0.627 0.333 0.245
Tl 0.079 0.797 0.343
Tl 0.921 0.203 0.657
Ir 0.718 0.907 0.064
Ir 0.282 0.093 0.936

A plane-wave DFT calculation with GGA-PBE was carried out for a relaxed Sr3TlIr crystal.

Computed properties:
Energy above the most stable polymorph in this dataset ... 0 meV/atom
D(E_F) ... 0.96 states/eV/atom
Crystal system ... monoclinic
Calculated volume ... 353.2 Å³/cell
Formation energy from the elements ... -1.54 eV per formula unit
ρ ... 6.200 g cm⁻³
Space-group type ... P2_1/m, No. 11

Cell: 4.633 9.058 9.270 Å, 114.76 90.00 90.00°
Fractional coordinates of all 10 atoms:
Sr 0.750 0.660 0.424
Sr 0.250 0.340 0.576
Sr 0.750 0.305 0.900
Sr 0.250 0.932 0.772
Sr 0.250 0.695 0.100
Sr 0.750 0.068 0.228
Tl 0.250 0.341 0.185
Tl 0.750 0.659 0.815
Ir 0.250 0.966 0.457
Ir 0.750 0.034 0.543

A plane-wave DFT calculation with GGA-PBE was carried out for a relaxed SrTl2Ir2 crystal.

Computed properties:
Energy above the most stable polymorph in this dataset ... 193 meV/atom
D(E_F) ... 0.36 states/eV/atom
Crystal system ... tetragonal
Calculated volume ... 213.6 Å³/cell
Formation energy from the elements ... 0.94 eV per formula unit
ρ ... 13.692 g cm⁻³
Space-group type ... P4/mbm, No. 127

Cell: 8.105 8.105 3.253 Å, 90.00 90.00 90.00°
Fractional coordinates of all 10 atoms:
Sr 0.000 0.000 0.000
Sr 0.500 0.500 0.000
Tl 0.158 0.658 0.500
Tl 0.658 0.842 0.500
Tl 0.842 0.342 0.500
Tl 0.342 0.158 0.500
Ir 0.364 0.864 0.000
Ir 0.864 0.636 0.000
Ir 0.636 0.136 0.000
Ir 0.136 0.364 0.000

A plane-wave DFT calculation with GGA-PBE was carried out for a relaxed SrTlIr crystal.

Computed properties:
D(E_F) ... 0.61 states/eV/atom
Crystal system ... hexagonal
Calculated volume ... 82.4 Å³/cell
Formation energy from the elements ... -0.11 eV per formula unit
ρ ... 9.759 g cm⁻³
Space-group type ... P-6m2, No. 187

Cell: 4.665 4.665 4.371 Å, 90.00 90.00 120.00°
Fractional coordinates of all 3 atoms:
Ir 0.000 0.000 0.833
Sr 0.667 0.333 0.334
Tl 0.333 0.667 0.833

A plane-wave DFT calculation with GGA-PBE was carried out for a relaxed Sr2TlIr crystal.

Computed properties:
Energy above the most stable polymorph in this dataset ... 49 meV/atom
D(E_F) ... 0.60 states/eV/atom
Crystal system ... tetragonal
Calculated volume ... 114.3 Å³/cell
Formation energy from the elements ... -0.56 eV per formula unit
ρ ... 8.306 g cm⁻³
Space-group type ... P4/mmm, No. 123

Cell: 3.695 3.695 8.374 Å, 90.00 90.00 90.00°
Fractional coordinates of all 4 atoms:
Ir 0.500 0.500 0.750
Sr 0.000 0.000 0.959
Sr 0.000 0.000 0.541
Tl 0.500 0.500 0.250

A plane-wave DFT calculation with GGA-PBE was carried out for a relaxed SrTlIr crystal.

Computed properties:
D(E_F) ... 0.72 states/eV/atom
Crystal system ... cubic
Calculated volume ... 89.5 Å³/cell
Formation energy from the elements ... 1.97 eV per formula unit
ρ ... 8.984 g cm⁻³
Space-group type ... F-43m, No. 216

Cell: 5.021 5.021 5.021 Å, 60.00 60.00 60.00°
Fractional coordinates of all 3 atoms:
Ir 0.500 0.500 0.500
Sr 0.750 0.750 0.750
Tl 0.000 0.000 0.000

A plane-wave DFT calculation with GGA-PBE was carried out for a relaxed Sr2TlIr crystal.

Computed properties:
Energy above the most stable polymorph in this dataset ... 210 meV/atom
D(E_F) ... 0.71 states/eV/atom
Crystal system ... monoclinic
Calculated volume ... 138.1 Å³/cell
Formation energy from the elements ... 0.09 eV per formula unit
ρ ... 6.875 g cm⁻³
Space-group type ... C2/m, No. 12

Cell: 4.306 4.306 8.987 Å, 76.59 76.59 59.32°
Fractional coordinates of all 4 atoms:
Ir 0.250 0.250 0.250
Sr 0.978 0.978 0.064
Sr 0.522 0.522 0.436
Tl 0.750 0.750 0.750

A plane-wave DFT calculation with GGA-PBE was carried out for a relaxed Sr6Tl2Ir crystal.

Computed properties:
D(E_F) ... 1.01 states/eV/atom
Crystal system ... monoclinic
Calculated volume ... 739.3 Å³/cell
Formation energy from the elements ... -2.33 eV per formula unit
ρ ... 5.062 g cm⁻³
Space-group type ... P2_1/c, No. 14

Cell: 7.422 9.079 10.972 Å, 90.00 90.84 90.00°
Fractional coordinates of all 18 atoms:
Sr 0.883 0.967 0.248
Sr 0.858 0.703 0.560
Sr 0.832 0.657 0.944
Sr 0.668 0.157 0.556
Sr 0.642 0.203 0.940
Sr 0.617 0.467 0.252
Sr 0.117 0.033 0.752
Sr 0.142 0.297 0.440
Sr 0.168 0.343 0.056
Sr 0.332 0.843 0.444
Sr 0.358 0.797 0.060
Sr 0.383 0.533 0.748
Tl 0.944 0.386 0.740
Tl 0.556 0.886 0.760
Tl 0.444 0.114 0.240
Tl 0.056 0.614 0.260
Ir 0.500 0.500 0.000
Ir 0.000 0.000 0.500